! SbTe2IrBr, relaxed, DFT PBEsol; values from VASP
! Total magnetization (μB/f.u.): 1.1
! V (Å³/cell): 146.67
! D(E_F) (states/eV per cell): 6.4
! Formation energy without anion corrections (kJ/mol of atoms): 174.64
&SYSTEM
  ibrav = 0, nat = 5, ntyp = 4
/
ATOMIC_SPECIES
Sb 121.76 Sb.upf
Te 127.60 Te.upf
Ir 192.22 Ir.upf
Br 79.90 Br.upf
ATOMIC_POSITIONS crystal
Sb 0.0000 0.0000 0.0000
Te 0.0000 0.5000 0.5000
Te 0.5000 0.0000 0.5000
Ir 0.5000 0.5000 0.0000
Br 0.0000 0.0000 0.5000
CELL_PARAMETERS angstrom
5.2344 0.0000 0.0000
0.0000 5.2344 0.0000
0.0000 0.0000 5.3532